Tl3CdCl5 | PBE | optimized geometry

Lattice parameters (Å, degrees): 8.1901 8.1901 8.3223 90.00 90.00 90.00
Last column: nearest neighbours and their distance in Å.
Atoms (fractional coordinates):
Tl 0.0000 0.0000 0.0000  8 Cl 3.53
Tl 0.1584 0.3416 0.5000  4 Cl 3.08-3.22
Tl 0.3416 0.8416 0.5000  4 Cl 3.08-3.22
Tl 0.5000 0.5000 0.0000  8 Cl 3.53
Tl 0.6584 0.1584 0.5000  4 Cl 3.08-3.22
Tl 0.8416 0.6584 0.5000  4 Cl 3.08-3.22
Cd 0.0000 0.5000 0.0000  4 Cl 2.54
Cd 0.5000 0.0000 0.0000  4 Cl 2.54
Cl 0.0000 0.0000 0.5000  4 Tl 3.08
Cl 0.1606 0.6606 0.2071  1 Cd 2.54
Cl 0.1606 0.6606 0.7929  1 Cd 2.54
Cl 0.3394 0.1606 0.2071  1 Cd 2.54
Cl 0.3394 0.1606 0.7929  1 Cd 2.54
Cl 0.5000 0.5000 0.5000  4 Tl 3.08
Cl 0.6606 0.8394 0.2071  1 Cd 2.54
Cl 0.6606 0.8394 0.7929  1 Cd 2.54
Cl 0.8394 0.3394 0.2071  1 Cd 2.54
Cl 0.8394 0.3394 0.7929  1 Cd 2.54

Properties
**E_tot**: -0.21187 Ry per atom
**Formation energy (no corrections)**: -966.3 meV/atom
**Symmetry**: P4/mbm, No. 127
**N(E_F)**: 0.000 states/eV/atom

BaTaCr | PBE | optimized geometry

Lattice parameters (Å, degrees): 3.3067 3.3067 7.4218 90.00 90.00 120.00
Last column: nearest neighbours and their distance in Å.
Atoms (fractional coordinates):
Ba 0.0000 0.0000 0.0000  6 Ba 3.31, 3 Cr 3.31, 3 Ta 3.67
Ta 0.3333 0.6667 0.5781  3 Cr 2.48
Cr 0.6667 0.3333 0.3647  3 Ta 2.48

Properties
**Energy of formation**: 1070 meV/atom
**E_tot**: -0.49464 Ry per atom
**Symmetry**: P3m1, No. 156
**N(E_F)**: 1.055 states/eV/atom
**Excess energy over the best structure of this formula in the dataset**: 245 meV/atom

AlCr2Cd | PBE | optimized geometry

Lattice parameters (Å, degrees): 5.0553 5.0553 5.0553 142.54 131.74 62.64
Last column: nearest neighbours and their distance in Å.
Atoms (fractional coordinates):
Al 0.0000 0.0000 0.0000  4 Cd 2.63, 4 Cr 2.66
Cr 0.2440 0.7440 0.5000  4 Cr 2.63, 2 Al 2.66, 2 Cd 2.74
Cr 0.7560 0.2560 0.5000  4 Cr 2.63, 2 Al 2.66, 2 Cd 2.74
Cd 0.5000 0.5000 0.0000  4 Al 2.63, 4 Cr 2.74

Properties
**Energy of formation**: 423 meV/atom
**E_tot**: -0.40814 Ry per atom
**Symmetry**: Immm, No. 71
**N(E_F)**: 0.930 states/eV/atom

ZrCd2Hg | PBE | optimized geometry

Lattice parameters (Å, degrees): 10.4858 10.4858 10.4858 17.43 17.43 17.43
Last column: nearest neighbours and their distance in Å.
Atoms (fractional coordinates):
Zr 0.0000 0.0000 0.0000  6 Cd 3.17-3.18, 6 Zr 3.18
Cd 0.2500 0.2500 0.2500  3 Hg 3.16, 3 Zr 3.17, 6 Cd 3.18
Cd 0.4171 0.4171 0.4171  3 Hg 3.16, 3 Zr 3.18, 6 Cd 3.18
Hg 0.8336 0.8336 0.8336  6 Cd 3.16, 6 Hg 3.18

Properties
**Energy of formation**: 8 meV/atom
**E_tot**: -0.19568 Ry per atom
**Symmetry**: R3m, No. 160
**N(E_F)**: 0.559 states/eV/atom

Ho2Mg3In3 | PBE | optimized geometry

Lattice parameters (Å, degrees): 4.6003 4.6671 8.9891 90.00 90.00 90.00
Last column: nearest neighbours and their distance in Å.
Atoms (fractional coordinates):
Ho 0.0000 0.0000 0.2474  6 In 3.20-3.23, 6 Mg 3.26-3.28
Ho 0.0000 0.0000 0.7526  6 In 3.20-3.23, 6 Mg 3.26-3.28
Mg 0.0000 0.5000 0.5000  4 Mg 3.20, 4 Ho 3.26, 4 In 3.28
Mg 0.5000 0.5000 0.2519  2 Mg 3.20, 6 In 3.23-3.25, 4 Ho 3.28
Mg 0.5000 0.5000 0.7481  2 Mg 3.20, 6 In 3.23-3.25, 4 Ho 3.28
In 0.0000 0.5000 0.0000  4 Ho 3.22, 4 Mg 3.23, 4 In 3.28
In 0.5000 0.0000 0.0000  4 Ho 3.20, 4 Mg 3.25, 4 In 3.28
In 0.5000 0.0000 0.5000  8 Mg 3.23-3.28, 4 Ho 3.23

Properties
**Energy of formation**: -326 meV/atom
**E_tot**: -0.22752 Ry per atom
**Symmetry**: Pmmm, No. 47
**N(E_F)**: 0.555 states/eV/atom

Rb4CeSm3O8 | PBE | optimized geometry

Lattice parameters (Å, degrees): 7.8149 7.8149 7.8149 55.34 55.34 55.34
Last column: nearest neighbours and their distance in Å.
Atoms (fractional coordinates):
Rb 0.0000 0.0000 0.0000  6 O 2.98
Rb 0.0000 0.5000 0.5000  6 O 2.98-2.99
Rb 0.5000 0.0000 0.5000  6 O 2.98-2.99
Rb 0.5000 0.5000 0.0000  6 O 2.98-2.99
Ce 0.5000 0.5000 0.5000  6 O 2.41
Sm 0.0000 0.0000 0.5000  6 O 2.40
Sm 0.0000 0.5000 0.0000  6 O 2.40
Sm 0.5000 0.0000 0.0000  6 O 2.40
O 0.2248 0.7266 0.7266  2 Sm 2.40, 1 Ce 2.41
O 0.2261 0.2261 0.2261  3 Sm 2.40
O 0.2734 0.2734 0.7752  2 Sm 2.40, 1 Ce 2.41
O 0.2734 0.7752 0.2734  2 Sm 2.40, 1 Ce 2.41
O 0.7266 0.2248 0.7266  2 Sm 2.40, 1 Ce 2.41
O 0.7266 0.7266 0.2248  2 Sm 2.40, 1 Ce 2.41
O 0.7739 0.7739 0.7739  3 Sm 2.40
O 0.7752 0.2734 0.2734  2 Sm 2.40, 1 Ce 2.41

Properties
**E_tot**: -0.48256 Ry per atom
**Formation energy (no corrections)**: -2588.9 meV/atom
**Symmetry**: R-3m, No. 166
**N(E_F)**: 0.190 states/eV/atom

MnHg2Te | PBE | optimized geometry

Lattice parameters (Å, degrees): 7.0116 7.0015 4.0775 73.22 72.95 33.83
Last column: nearest neighbours and their distance in Å.
Atoms (fractional coordinates):
Mn 0.0000 0.0000 0.0000  4 Te 2.87-2.90
Hg 0.0000 0.5000 0.0000  4 Hg 2.87-2.90
Hg 0.5000 0.0000 0.5000  4 Hg 2.87-2.90
Te 0.5000 0.5000 0.5000  4 Mn 2.87-2.90

Properties
**E_tot**: -0.22724 Ry per atom
**Formation energy (no corrections)**: 136.9 meV/atom
**Symmetry**: Fmmm, No. 69
**N(E_F)**: 0.287 states/eV/atom

Nd5Al2Zn | PBE | optimized geometry

Lattice parameters (Å, degrees): 9.4329 9.4329 9.4329 131.04 131.04 71.75
Last column: nearest neighbours and their distance in Å.
Atoms (fractional coordinates):
Nd 0.0000 0.0000 0.0000  4 Al 3.13
Nd 0.0242 0.5242 0.8469  3 Al 3.25, 2 Zn 3.28, 1 Nd 3.51
Nd 0.1773 0.0242 0.5000  3 Al 3.25, 2 Zn 3.28, 1 Nd 3.51
Nd 0.3227 0.8227 0.8469  3 Al 3.25, 2 Zn 3.28, 1 Nd 3.51
Nd 0.4758 0.3227 0.5000  3 Al 3.25, 2 Zn 3.28, 1 Nd 3.51
Nd 0.5000 0.5000 0.0000  4 Al 3.13
Nd 0.5242 0.6773 0.5000  3 Al 3.25, 2 Zn 3.28, 1 Nd 3.51
Nd 0.6773 0.1773 0.1531  3 Al 3.25, 2 Zn 3.28, 1 Nd 3.51
Nd 0.8227 0.9758 0.5000  3 Al 3.25, 2 Zn 3.28, 1 Nd 3.51
Nd 0.9758 0.4758 0.1531  3 Al 3.25, 2 Zn 3.28, 1 Nd 3.51
Al 0.1173 0.3827 0.5000  1 Al 2.59
Al 0.3827 0.8827 0.2654  1 Al 2.59
Al 0.6173 0.1173 0.7346  1 Al 2.59
Al 0.8827 0.6173 0.5000  1 Al 2.59
Zn 0.2500 0.2500 0.0000  8 Nd 3.28
Zn 0.7500 0.7500 0.0000  8 Nd 3.28

Properties
**Energy of formation**: -215 meV/atom
**E_tot**: -0.31533 Ry per atom
**Symmetry**: I4/mcm, No. 140
**N(E_F)**: 1.025 states/eV/atom

> The highest N(E_F) belongs to which entry?

BaTaCr